# Li2Mn2OF6 | Alexandria | PBE+U | optimized geometry
data_Li2Mn2OF6
_chemical_formula_sum 'Li8 Mn8 O4 F24'
_cell_length_a 6.631
_cell_length_b 8.098
_cell_length_c 11.115
_cell_angle_alpha 90.00
_cell_angle_beta 107.13
_cell_angle_gamma 90.00
_symmetry_space_group_name_H-M 'C 1 c 1'
_symmetry_Int_Tables_number 9
_symmetry_space_group_name_Hall 'C -2yc'
loop_
_atom_site_label
_atom_site_type_symbol
_atom_site_fract_x
_atom_site_fract_y
_atom_site_fract_z
Li1 Li 0.000 0.169 0.000
Li2 Li 0.052 0.196 0.593
Mn1 Mn 0.373 0.051 0.229
Mn2 Mn 0.493 0.331 0.790
O1 O 0.088 0.004 0.205
F1 F 0.016 0.059 0.445
F2 F 0.156 0.389 0.734
F3 F 0.294 0.197 0.084
F4 F 0.329 0.228 0.353
F5 F 0.394 0.198 0.633
F6 F 0.459 0.119 0.866
# VASP energy = -5.655 eV/atom
# Energy relative to the lowest polymorph listed for this composition = 38.0 meV per atom